Record 1
First-principles (PBE) data for a relaxed BeSbHI2 crystal, as listed in Alexandria via LeMat-Bulk.

## Properties
Space group = No. 123
Polymorph energy (0 for the lowest one) = 0 meV/atom

Cell lengths 5.5696, 5.5696, 4.7067 Å; angles 90.00, 90.00, 90.00 degrees
Closest atoms and distances in Å follow each position.
Fractional coordinates of all 5 atoms:
I: 0.0000 0.5000 0.0000  2 Be 2.78
I: 0.5000 0.0000 0.0000  2 Be 2.78
Sb: 0.0000 0.0000 0.5000  2 Be 2.35
H: 0.5000 0.5000 0.5000  8 I 3.65, 4 Sb 3.94
Be: 0.0000 0.0000 0.0000  2 Sb 2.35

Record 2
First-principles (PBE) data for a relaxed NdEr4Tl2 crystal, as listed in Alexandria via LeMat-Bulk.

## Properties
Space group = No. 12
Polymorph energy (0 for the lowest one) = 12 meV/atom
Energy of formation from the pure elements = -109 meV per atom

Cell lengths 5.3612, 8.6930, 11.3277 Å; angles 112.83, 76.31, 72.04 degrees
Closest atoms and distances in Å follow each position.
Fractional coordinates of all 14 atoms:
Nd: 0.0241 0.8775 0.0742  1 Nd 3.17, 2 Tl 3.36, 2 Er 3.41-3.43
Nd: 0.9759 0.1225 0.9258  1 Nd 3.17, 2 Tl 3.36, 2 Er 3.41-3.43
Er: 0.3115 0.0477 0.3294  4 Tl 3.15-3.29, 2 Er 3.34-3.47
Er: 0.6604 0.5973 0.0819  5 Er 3.18-3.44, 1 Tl 3.29, 1 Nd 3.41
Er: 0.0104 0.2856 0.6936  4 Tl 3.26-3.39, 1 Nd 3.43, 3 Er 3.44-3.47
Er: 0.6506 0.3835 0.3153  4 Tl 3.09-3.19
Er: 0.3494 0.6165 0.6847  4 Tl 3.09-3.19
Er: 0.9896 0.7144 0.3064  4 Tl 3.26-3.39, 1 Nd 3.43, 3 Er 3.44-3.47
Er: 0.3396 0.4027 0.9181  5 Er 3.18-3.44, 1 Tl 3.29, 1 Nd 3.41
Er: 0.6885 0.9523 0.6706  4 Tl 3.15-3.29, 2 Er 3.34-3.47
Tl: 0.6561 0.1866 0.5011  8 Er 3.09-3.39
Tl: 0.3100 0.2423 0.1376  5 Er 3.18-3.38, 2 Nd 3.36
Tl: 0.6900 0.7577 0.8624  5 Er 3.18-3.38, 2 Nd 3.36
Tl: 0.3439 0.8134 0.4989  8 Er 3.09-3.39

Record 3
First-principles (PBE) data for a relaxed SiSe crystal, as listed in Alexandria via LeMat-Bulk.

## Properties
Formation energy from raw total energies = -66 meV per atom
Space group = No. 12

Cell lengths 4.0727, 4.9119, 9.1111 Å; angles 90.00, 110.88, 90.00 degrees
Closest atoms and distances in Å follow each position.
Fractional coordinates of all 8 atoms:
Si: 0.1785 0.0000 0.9196  3 Se 2.38-2.57, 2 Si 2.40-2.50
Si: 0.8215 0.0000 0.0804  3 Se 2.38-2.57, 2 Si 2.40-2.50
Si: 0.1785 0.5000 0.4196  3 Se 2.38-2.57, 2 Si 2.40-2.50
Si: 0.8215 0.5000 0.5804  3 Se 2.38-2.57, 2 Si 2.40-2.50
Se: 0.7823 0.0000 0.6538  3 Si 2.38-2.57
Se: 0.2177 0.0000 0.3462  3 Si 2.38-2.57
Se: 0.7823 0.5000 0.1538  3 Si 2.38-2.57
Se: 0.2177 0.5000 0.8462  3 Si 2.38-2.57

Record 4
First-principles (PBE) data for a relaxed Cd5SnHg5 crystal, as listed in Alexandria via LeMat-Bulk.

## Properties
Space group = No. 12
Energy of formation from the pure elements = 65 meV per atom

Cell lengths 5.9839, 7.1348, 7.7881 Å; angles 106.22, 90.00, 114.79 degrees
Closest atoms and distances in Å follow each position.
Fractional coordinates of all 11 atoms:
Cd: 0.5965 0.1930 0.3925  4 Hg 2.92-3.21, 2 Cd 3.01-3.06
Cd: 0.6486 0.2971 0.7966  5 Hg 2.84-3.08, 2 Cd 3.01-3.06
Cd: 0.0000 0.0000 0.5000  4 Hg 2.84-3.06
Cd: 0.3514 0.7029 0.2034  5 Hg 2.84-3.08, 2 Cd 3.01-3.06
Cd: 0.4035 0.8070 0.6075  4 Hg 2.92-3.21, 2 Cd 3.01-3.06
Sn: 0.0000 0.0000 0.0000  4 Hg 2.99-3.00
Hg: 0.7908 0.5816 0.1802  4 Cd 2.99-3.08
Hg: 0.8234 0.6468 0.6442  3 Cd 2.84-2.99, 1 Sn 3.00
Hg: 0.5000 0.0000 0.0000  4 Cd 2.84-2.92, 2 Sn 2.99
Hg: 0.1766 0.3532 0.3558  3 Cd 2.84-2.99, 1 Sn 3.00
Hg: 0.2092 0.4184 0.8198  4 Cd 2.99-3.08

Record 5
First-principles (PBE) data for a relaxed BaLi2AsO4 crystal, as listed in Alexandria via LeMat-Bulk.

## Properties
Formation energy from raw total energies = -1835 meV per atom
Space group = No. 121

Cell lengths 5.5453, 5.3798, 5.3798 Å; angles 62.05, 58.98, 58.98 degrees
Closest atoms and distances in Å follow each position.
Fractional coordinates of all 8 atoms:
Ba: 0.0000 0.0000 0.0000  8 O 2.68-2.96
Li: 0.2499 0.2501 0.2501  4 O 2.14
Li: 0.7501 0.7499 0.7499  4 O 2.14
As: 0.5000 0.5000 0.5000  4 O 1.88
O: 0.4629 0.1554 0.5371  1 As 1.88
O: 0.1553 0.8446 0.4629  1 As 1.88
O: 0.8447 0.5371 0.1554  1 As 1.88
O: 0.5371 0.4629 0.8446  1 As 1.88

Record 6
First-principles (PBE) data for a relaxed LiCa2AlPt crystal, as listed in Alexandria via LeMat-Bulk.

## Properties
Space group = No. 123
Energy of formation from the pure elements = -414 meV per atom

Cell lengths 5.5983, 5.5983, 4.7970 Å; angles 90.00, 90.00, 90.00 degrees
Closest atoms and distances in Å follow each position.
Fractional coordinates of all 5 atoms:
Ca: 0.0000 0.5000 0.0000  2 Pt 2.80
Ca: 0.5000 0.0000 0.0000  2 Pt 2.80
Al: 0.0000 0.0000 0.5000  2 Pt 2.40
Pt: 0.0000 0.0000 0.0000  2 Al 2.40
Li: 0.5000 0.5000 0.5000  8 Ca 3.69, 4 Al 3.96

Record 7
First-principles (PBE) data for a relaxed LiZn2Cd2Ag4 crystal, as listed in Alexandria via LeMat-Bulk.

## Properties
Space group = No. 12
Energy of formation from the pure elements = -70 meV per atom

Cell lengths 3.2660, 7.0787, 7.1686 Å; angles 103.61, 90.00, 103.34 degrees
Closest atoms and distances in Å follow each position.
Fractional coordinates of all 9 atoms:
Li: 0.0000 0.0000 0.0000  4 Cd 2.73, 4 Ag 2.75
Zn: 0.8872 0.7744 0.3666  7 Ag 2.77-2.91, 2 Cd 2.90
Zn: 0.1128 0.2256 0.6334  7 Ag 2.77-2.91, 2 Cd 2.90
Cd: 0.3438 0.6876 0.0212  2 Li 2.73, 2 Zn 2.90, 3 Ag 2.94-3.03, 2 Cd 3.01
Cd: 0.6562 0.3124 0.9788  2 Li 2.73, 2 Zn 2.90, 3 Ag 2.94-3.03, 2 Cd 3.01
Ag: 0.7812 0.5623 0.6725  3 Zn 2.80-2.91, 4 Ag 2.91-2.92, 3 Cd 2.94-3.10
Ag: 0.2188 0.4377 0.3275  3 Zn 2.80-2.91, 4 Ag 2.91-2.92, 3 Cd 2.94-3.10
Ag: 0.5419 0.0838 0.3184  2 Li 2.75, 4 Zn 2.77, 2 Ag 2.92, 1 Cd 3.03
Ag: 0.4581 0.9162 0.6816  2 Li 2.75, 4 Zn 2.77, 2 Ag 2.92, 1 Cd 3.03

Record 8
First-principles (PBE) data for a relaxed PuB2Rh crystal, as listed in Alexandria via LeMat-Bulk.

## Properties
Space group = No. 11
Energy of formation from the pure elements = -381 meV per atom

Cell lengths 3.1323, 5.4872, 6.3344 Å; angles 90.00, 104.27, 90.00 degrees
Closest atoms and distances in Å follow each position.
Fractional coordinates of all 8 atoms:
Pu: 0.9211 0.7500 0.8433  6 B 2.71-2.87
Pu: 0.0789 0.2500 0.1567  6 B 2.71-2.87
B: 0.2557 0.5906 0.5116  3 B 1.75-1.86
B: 0.7443 0.4094 0.4884  3 B 1.75-1.86
B: 0.7443 0.0906 0.4884  3 B 1.75-1.86
B: 0.2557 0.9094 0.5116  3 B 1.75-1.86
Rh: 0.6486 0.7500 0.2968  6 B 2.21-2.23
Rh: 0.3514 0.2500 0.7032  6 B 2.21-2.23

Record 9
First-principles (PBE) data for a relaxed MnAl crystal, as listed in Alexandria via LeMat-Bulk.

## Properties
Space group = No. 166
Energy of formation from the pure elements = -100 meV per atom

Cell lengths 4.6924, 4.6924, 4.6924 Å; angles 49.49, 49.49, 49.49 degrees
Closest atoms and distances in Å follow each position.
Fractional coordinates of all 4 atoms:
Mn: 0.3213 0.3213 0.3213  3 Mn 2.29
Mn: 0.6787 0.6787 0.6787  3 Mn 2.29
Al: 0.1096 0.1096 0.1096  7 Mn 2.57-2.72, 4 Al 2.67-2.70
Al: 0.8904 0.8904 0.8904  7 Mn 2.57-2.72, 4 Al 2.67-2.70

Record 10
First-principles (PBE) data for a relaxed Th3Tl3SnTe8 crystal, as listed in Alexandria via LeMat-Bulk.

## Properties
Formation energy from raw total energies = -797 meV per atom
Space group = No. 166

Cell lengths 9.0854, 9.0832, 9.7167 Å; angles 117.88, 90.00, 120.01 degrees
Closest atoms and distances in Å follow each position.
Fractional coordinates of all 15 atoms:
Th: 0.5000 0.0000 0.5000  6 Te 3.14-3.19
Th: 0.5000 0.5000 0.5000  6 Te 3.14-3.19
Th: 0.0000 0.5000 0.5000  6 Te 3.14-3.19
Tl: 0.0000 0.0000 0.0000  6 Te 3.47-3.52
Tl: 0.0000 0.5000 0.0000  6 Te 3.47-3.52
Tl: 0.5000 0.5000 0.0000  6 Te 3.47-3.52
Sn: 0.0000 0.0000 0.5000  6 Te 3.21
Te: 0.2592 0.5185 0.2779  3 Th 3.19, 3 Tl 3.47
Te: 0.7408 0.4815 0.7221  3 Th 3.19, 3 Tl 3.47
Te: 0.7572 0.5144 0.2827  2 Th 3.14, 1 Sn 3.21, 2 Tl 3.52
Te: 0.2428 0.4856 0.7173  2 Th 3.14, 1 Sn 3.21, 2 Tl 3.52
Te: 0.7572 0.0253 0.2829  2 Th 3.14, 1 Sn 3.21, 2 Tl 3.52
Te: 0.2428 0.9747 0.7171  2 Th 3.14, 1 Sn 3.21, 2 Tl 3.52
Te: 0.2680 0.0253 0.2829  2 Th 3.14, 1 Sn 3.21, 2 Tl 3.52
Te: 0.7320 0.9747 0.7171  2 Th 3.14, 1 Sn 3.21, 2 Tl 3.52

Record 11
First-principles (PBE) data for a relaxed RhPb2Br2O2 crystal, as listed in Alexandria via LeMat-Bulk.

## Properties
Formation energy from raw total energies = -781 meV per atom
Space group = No. 12

Cell lengths 3.9111, 6.4252, 7.2875 Å; angles 68.73, 74.43, 72.28 degrees
Closest atoms and distances in Å follow each position.
Fractional coordinates of all 7 atoms:
Rh: 0.0000 0.0000 0.0000  2 O 2.09
Pb: 0.1910 0.3878 0.2303  3 O 2.33-2.39
Pb: 0.8090 0.6122 0.7697  3 O 2.33-2.39
Br: 0.5556 0.1563 0.7324  2 Rh 2.68
Br: 0.4444 0.8437 0.2676  2 Rh 2.68
O: 0.1888 0.6898 0.9326  1 Rh 2.09, 1 Pb 2.33
O: 0.8112 0.3102 0.0674  1 Rh 2.09, 1 Pb 2.33

no.,energy (eV/atom)
1,-2.175
2,-4.073
3,-4.520
4,-0.852
5,-5.614
6,-3.554
7,-2.037
8,-9.141
9,-6.556
10,-4.697
11,-4.786